Compound: PmPrTl2S4
Source: the Alexandria database
Functional: GGA-PBE
Structure: relaxed

extended XYZ file:
```
8
Lattice="7.247 0.000 0.000 0.000 4.183 0.000 -2.413 0.000 7.496" Properties=species:S:1:pos:R:3 pbc="T T T"
Pm 0.000 0.000 0.000
Pr 3.623 2.092 0.000
Tl -1.207 2.092 3.748
Tl 2.417 0.000 3.748
S 1.184 2.092 1.527
S -0.023 0.000 5.958
S 4.856 0.000 1.537
S 3.650 2.092 5.969
```

Summary:
For the electronic total energy, the calculation gives -42.41 eV for the cell shown. For the uncorrected formation energy, the calculation gives -11.6 eV/f.u.



Compound: CsLiBr2
Source: the Alexandria database
Functional: GGA-PBE
Structure: relaxed

extended XYZ file:
```
4
Lattice="2.217 1.280 7.839 -2.217 1.280 7.839 0.000 -2.560 7.839" Properties=species:S:1:pos:R:3 pbc="T T T"
Cs 0.000 0.000 0.000
Li 0.000 0.000 11.759
Br 0.000 0.000 5.370
Br 0.000 0.000 18.148
```

Summary:
For the electronic total energy, the calculation gives -12.30 eV for the cell shown. For the uncorrected formation energy, the calculation gives -6.2 eV/f.u.



Compound: Li2TeMo
Source: the Alexandria database
Functional: GGA-PBE
Structure: relaxed

extended XYZ file:
```
4
Lattice="-1.623 2.221 4.848 1.623 -2.221 4.848 1.623 2.221 -4.848" Properties=species:S:1:pos:R:3 pbc="T T T"
Li 0.000 0.000 2.352
Li 0.000 0.000 7.345
Te 1.623 0.000 0.000
Mo 0.000 2.221 0.000
```

Summary:
For the electronic total energy, the calculation gives -17.23 eV for the cell shown. For the uncorrected formation energy, the calculation gives 0.6 eV/f.u.



Compound: PmDyCdAu
Source: the Alexandria database
Functional: GGA-PBE
Structure: relaxed

extended XYZ file:
```
4
Lattice="0.000 3.712 3.712 3.712 0.000 3.712 3.712 3.712 0.000" Properties=species:S:1:pos:R:3 pbc="T T T"
Pm 0.000 0.000 0.000
Dy 3.712 3.712 3.712
Cd 1.856 1.856 1.856
Au 5.568 5.568 5.568
```

Summary:
The calculation puts the formation energy at -536 meV per atom. For the electronic total energy, the calculation gives -15.69 eV for the cell shown. The value obtained for the energy above the most stable polymorph in this dataset is 34 meV per atom.



The records above give, respectively, N(E_F) values of 0.000, 0.000, 0.435, 0.685 states/eV per atom.